Entry 1:
Compound: Hf4Co2Os
Source: the Alexandria database
Functional: PBE
Structure: optimized geometry

Values from the calculation:
Formation energy (meV/atom): -377
Density of states at the Fermi level (states/eV per cell): 7.16
Total magnetization (μB per cell): 0.0
VASP energy (eV/atom): -9.70

```
data_Hf4Co2Os
_cell_length_a 7.775
_cell_length_b 4.480
_cell_length_c 7.627
_cell_angle_alpha 90.00
_cell_angle_beta 109.92
_cell_angle_gamma 90.00
_space_group_name_H-M_alt 'C 1 2/m 1'
_space_group_IT_number 12
loop_
_space_group_symop_operation_xyz
'x,y,z'
'-x,-y,-z'
'-x,y,-z'
'x,-y,z'
'x+1/2,y+1/2,z'
'-x+1/2,-y+1/2,-z'
'-x+1/2,y+1/2,-z'
'x+1/2,-y+1/2,z'
loop_
_atom_site_label
_atom_site_fract_x
_atom_site_fract_y
_atom_site_fract_z
Hf1 0.121 0.000 0.361
Hf2 0.128 0.500 0.886
Co1 0.249 0.000 0.746
Os1 0.000 0.500 0.500
```


Entry 2:
Compound: Hf8CoOs2
Source: the Alexandria database
Functional: PBE
Structure: optimized geometry

Values from the calculation:
Formation energy (meV/atom): -235
Density of states at the Fermi level (states/eV per cell): 16.98
Total magnetization (μB per cell): 0.0
VASP energy (eV/atom): -10.16

```
data_Hf8CoOs2
_cell_length_a 15.666
_cell_length_b 4.525
_cell_length_c 6.386
_cell_angle_alpha 90.00
_cell_angle_beta 106.11
_cell_angle_gamma 90.00
_space_group_name_H-M_alt 'C 1 2/m 1'
_space_group_IT_number 12
loop_
_space_group_symop_operation_xyz
'x,y,z'
'-x,-y,-z'
'-x,y,-z'
'x,-y,z'
'x+1/2,y+1/2,z'
'-x+1/2,-y+1/2,-z'
'-x+1/2,y+1/2,-z'
'x+1/2,-y+1/2,z'
loop_
_atom_site_label
_atom_site_fract_x
_atom_site_fract_y
_atom_site_fract_z
Hf1 0.017 0.000 0.258
Hf2 0.094 0.500 0.959
Hf3 0.161 0.500 0.455
Hf4 0.200 0.000 0.796
Co1 0.000 0.500 0.500
Os1 0.184 0.000 0.204
```


Entry 3:
Compound: Hf3Co2Os
Source: the Alexandria database
Functional: PBE
Structure: optimized geometry

Values from the calculation:
Formation energy (meV/atom): -490
Density of states at the Fermi level (states/eV per cell): 7.08
Total magnetization (μB per cell): 3.9
VASP energy (eV/atom): -9.71

```
data_Hf3Co2Os
_cell_length_a 4.546
_cell_length_b 13.565
_cell_length_c 3.191
_cell_angle_alpha 90.00
_cell_angle_beta 90.00
_cell_angle_gamma 90.00
_space_group_name_H-M_alt 'C m m m'
_space_group_IT_number 65
_space_group_name_Hall '-C 2 2'
loop_
_atom_site_label
_atom_site_fract_x
_atom_site_fract_y
_atom_site_fract_z
Hf1 0.000 0.000 0.000
Hf2 0.000 0.331 0.000
Co1 0.000 0.166 0.500
Os1 0.000 0.500 0.500
```


Entry 4:
Compound: Hf12Co6Os
Source: the Alexandria database
Functional: PBE
Structure: optimized geometry

Values from the calculation:
Formation energy (meV/atom): -322
Density of states at the Fermi level (states/eV per cell): 23.47
Total magnetization (μB per cell): 0.0
VASP energy (eV/atom): -9.44

```
data_Hf12Co6Os
_cell_length_a 8.800
_cell_length_b 8.800
_cell_length_c 8.800
_cell_angle_alpha 90.00
_cell_angle_beta 90.00
_cell_angle_gamma 90.00
_space_group_name_H-M_alt 'I m -3'
_space_group_IT_number 204
_space_group_name_Hall '-I 2 2 3'
loop_
_atom_site_label
_atom_site_fract_x
_atom_site_fract_y
_atom_site_fract_z
Hf1 0.000 0.292 0.180
Co1 0.000 0.138 0.500
Os1 0.000 0.000 0.000
```


Entry 5:
Compound: HfCo3Os
Source: the Alexandria database
Functional: PBE
Structure: optimized geometry

Values from the calculation:
Formation energy (meV/atom): 1056
Density of states at the Fermi level (states/eV per cell): 7.00
Total magnetization (μB per cell): 0.0
E above lowest polymorph (eV/f.u.): 0.000
VASP energy (eV/atom): -7.44

```
data_HfCo3Os
_cell_length_a 4.397
_cell_length_b 4.397
_cell_length_c 4.397
_cell_angle_alpha 90.00
_cell_angle_beta 90.00
_cell_angle_gamma 90.00
_space_group_name_H-M_alt 'P m -3 m'
_space_group_IT_number 221
_space_group_name_Hall '-P 4 2 3'
loop_
_atom_site_label
_atom_site_fract_x
_atom_site_fract_y
_atom_site_fract_z
Hf1 0.000 0.000 0.000
Co1 0.000 0.500 0.500
Os1 0.500 0.500 0.500
```


Entry 6:
Compound: Hf2CoOs
Source: the Alexandria database
Functional: PBE
Structure: optimized geometry

Values from the calculation:
Formation energy (meV/atom): 626
Density of states at the Fermi level (states/eV per cell): 5.73
Total magnetization (μB per cell): 0.0
VASP energy (eV/atom): -8.93

```
data_Hf2CoOs
_cell_length_a 2.847
_cell_length_b 4.931
_cell_length_c 9.912
_cell_angle_alpha 90.00
_cell_angle_beta 90.00
_cell_angle_gamma 90.00
_space_group_name_H-M_alt 'I m m m'
_space_group_IT_number 71
_space_group_name_Hall '-I 2 2'
loop_
_atom_site_label
_atom_site_fract_x
_atom_site_fract_y
_atom_site_fract_z
Hf1 0.000 0.000 0.238
Co1 0.000 0.000 0.000
Os1 0.000 0.000 0.500
```


Please write out number 1 again, unchanged.
Compound: Hf4Co2Os
Source: the Alexandria database
Functional: PBE
Structure: optimized geometry

Values from the calculation:
Formation energy (meV/atom): -377
Density of states at the Fermi level (states/eV per cell): 7.16
Total magnetization (μB per cell): 0.0
VASP energy (eV/atom): -9.70

```
data_Hf4Co2Os
_cell_length_a 7.775
_cell_length_b 4.480
_cell_length_c 7.627
_cell_angle_alpha 90.00
_cell_angle_beta 109.92
_cell_angle_gamma 90.00
_space_group_name_H-M_alt 'C 1 2/m 1'
_space_group_IT_number 12
loop_
_space_group_symop_operation_xyz
'x,y,z'
'-x,-y,-z'
'-x,y,-z'
'x,-y,z'
'x+1/2,y+1/2,z'
'-x+1/2,-y+1/2,-z'
'-x+1/2,y+1/2,-z'
'x+1/2,-y+1/2,z'
loop_
_atom_site_label
_atom_site_fract_x
_atom_site_fract_y
_atom_site_fract_z
Hf1 0.121 0.000 0.361
Hf2 0.128 0.500 0.886
Co1 0.249 0.000 0.746
Os1 0.000 0.500 0.500
```